# 1
Density functional theory data (GGA-PBE) for a relaxed La5PmAlHg2 crystal.

The space group is P4/mbm (No. 127) and the conventional cell measures 7.7293, 7.7293 and 9.9937 Å, with angles of 90.00, 90.00 and 90.00 degrees. The asymmetric unit holds La at (0.0000, 0.0000, 0.0000), La at (0.2213, 0.2787, 0.2742), Pm at (0.0000, 0.0000, 0.5000), Al at (0.0000, 0.5000, 0.5000) and Hg at (0.1238, 0.6238, 0.0000).

The total DFT energy (no corrections) is -3.878 eV/atom. Its formation energy is -130 meV/atom. The theoretical density is 7.1 g cm⁻³.

# 2
Density functional theory data (GGA-PBE) for a relaxed LaPmAlHg crystal.

The space group is P4mm (No. 99) and the conventional cell measures 3.6790, 3.6790 and 8.1131 Å, with angles of 90.00, 90.00 and 90.00 degrees. The asymmetric unit holds La at (0.0000, 0.0000, 0.0000), Pm at (0.0000, 0.0000, 0.4756), Al at (0.5000, 0.5000, 0.2443) and Hg at (0.5000, 0.5000, 0.7208).

Its polymorph energy (0 for the lowest one) is 0.0000 eV per atom. The total DFT energy (no corrections) is -3.862 eV/atom. Its formation energy is -432 meV/atom. The theoretical density is 7.7 g cm⁻³.

# 3
Density functional theory data (GGA-PBE) for a relaxed LaPmAlHg crystal.

The space group is F-43m (No. 216) and the conventional cell measures 7.6581, 7.6581 and 7.6581 Å, with angles of 90.00, 90.00 and 90.00 degrees. The asymmetric unit holds La at (0.0000, 0.0000, 0.0000), Pm at (0.0000, 0.0000, 0.5000), Al at (0.2500, 0.2500, 0.7500) and Hg at (0.2500, 0.2500, 0.2500).

Its polymorph energy (0 for the lowest one) is 0.0422 eV per atom. The total DFT energy (no corrections) is -3.820 eV/atom. Its formation energy is -389 meV/atom. The theoretical density is 7.6 g cm⁻³.

Which of these has the highest theoretical density?
number 2

Number 3 is which compound?
LaPmAlHg